# 1
A plane-wave DFT calculation with meta-GGA SCAN was carried out for a crystal of BH2Pb relaxed with PBEsol.

It has space group Fd-3m (No. 227, origin choice 2), with a = 7.003 Å, b = 7.003 Å, c = 7.003 Å, α = 90.00°, β = 90.00° and γ = 90.00°. The asymmetric unit holds B at (0.125, 0.125, 0.125), H at (0.000, 0.000, 0.000) and Pb at (0.125, 0.125, 0.625).

The excess energy over the best structure of this formula in the dataset is 0 meV/atom.

# 2
A plane-wave DFT calculation with meta-GGA SCAN was carried out for a crystal of BH2Pb relaxed with PBEsol.

It has space group Fm-3m (No. 225), with a = 5.579 Å, b = 5.579 Å, c = 5.579 Å, α = 90.00°, β = 90.00° and γ = 90.00°. The asymmetric unit holds B at (0.000, 0.000, 0.000), H at (0.250, 0.250, 0.250) and Pb at (0.000, 0.000, 0.500).

The excess energy over the best structure of this formula in the dataset is 698 meV/atom.

# 3
A plane-wave DFT calculation with meta-GGA SCAN was carried out for a crystal of BHRh2Pb relaxed with PBEsol.

It has space group P4/mmm (No. 123), with a = 4.151 Å, b = 4.151 Å, c = 3.462 Å, α = 90.00°, β = 90.00° and γ = 90.00°. The asymmetric unit holds B at (0.000, 0.000, 0.000), H at (0.000, 0.000, 0.500), Rh at (0.000, 0.500, 0.500) and Pb at (0.500, 0.500, 0.000).

The calculation puts the total energy at -150.68 eV per formula unit.